[1]
# Ca2TePb

Crystalline Ca2TePb at its relaxed geometry (GGA-PBEsol, Alexandria via LeMat-Bulk).

The structure in CIF format:
```
data_Ca2TePb
_cell_length_a 5.460
_cell_length_b 5.460
_cell_length_c 3.886
_cell_angle_alpha 90.00
_cell_angle_beta 90.00
_cell_angle_gamma 90.00
_symmetry_space_group_name_H-M 'P 4/m m m'
_symmetry_Int_Tables_number 123
_symmetry_space_group_name_Hall '-P 4 2'
loop_
_atom_site_label
_atom_site_type_symbol
_atom_site_fract_x
_atom_site_fract_y
_atom_site_fract_z
Ca1 Ca 0.000 0.500 0.000
Te1 Te 0.000 0.000 0.500
Pb1 Pb 0.500 0.500 0.500
```

Output
Raw formation energy: -0.838 eV per atom
Excess energy over the best structure of this formula in the dataset: 0.0 meV per atom

=====

[2]
# CaTe2Pb

Crystalline CaTe2Pb at its relaxed geometry (GGA-PBEsol, Alexandria via LeMat-Bulk).

The structure in CIF format:
```
data_CaTe2Pb
_cell_length_a 4.4996
_cell_length_b 4.4996
_cell_length_c 22.2360
_cell_angle_alpha 90.00
_cell_angle_beta 90.00
_cell_angle_gamma 120.00
_symmetry_space_group_name_H-M 'R -3 m'
_symmetry_Int_Tables_number 166
_symmetry_space_group_name_Hall '-R 3 2"'
loop_
_atom_site_label
_atom_site_type_symbol
_atom_site_fract_x
_atom_site_fract_y
_atom_site_fract_z
Ca1 Ca 0.0000 0.0000 0.0000
Te1 Te 0.0000 0.0000 0.2525
Pb1 Pb 0.0000 0.0000 0.5000
```

Output
Raw formation energy: -0.985 eV per atom

=====

[3]
# CaTe2Pb

Crystalline CaTe2Pb at its relaxed geometry (GGA-PBEsol, Alexandria via LeMat-Bulk).

The structure in CIF format:
```
data_CaTe2Pb
_cell_length_a 4.507
_cell_length_b 4.507
_cell_length_c 6.380
_cell_angle_alpha 90.00
_cell_angle_beta 90.00
_cell_angle_gamma 90.00
_symmetry_space_group_name_H-M 'P 4/m m m'
_symmetry_Int_Tables_number 123
_symmetry_space_group_name_Hall '-P 4 2'
loop_
_atom_site_label
_atom_site_type_symbol
_atom_site_fract_x
_atom_site_fract_y
_atom_site_fract_z
Ca1 Ca 0.000 0.000 0.000
Te1 Te 0.000 0.000 0.500
Te2 Te 0.500 0.500 0.000
Pb1 Pb 0.500 0.500 0.500
```

Output
Raw formation energy: -1.004 eV per atom

=====

[4]
# CaTe2Pb

Crystalline CaTe2Pb at its relaxed geometry (GGA-PBEsol, Alexandria via LeMat-Bulk).

The structure in CIF format:
```
data_CaTe2Pb
_cell_length_a 4.729
_cell_length_b 4.290
_cell_length_c 12.256
_cell_angle_alpha 90.00
_cell_angle_beta 90.00
_cell_angle_gamma 90.00
_symmetry_space_group_name_H-M 'A m m 2'
_symmetry_Int_Tables_number 38
loop_
_symmetry_equiv_pos_as_xyz
'x,y,z'
'-x,-y,z'
'-x,y,z'
'x,-y,z'
'x,y+1/2,z+1/2'
'-x,-y+1/2,z+1/2'
'-x,y+1/2,z+1/2'
'x,-y+1/2,z+1/2'
loop_
_atom_site_label
_atom_site_type_symbol
_atom_site_fract_x
_atom_site_fract_y
_atom_site_fract_z
Ca1 Ca 0.000 0.000 0.000
Te1 Te 0.000 0.000 0.266
Te2 Te 0.500 0.000 0.521
Pb1 Pb 0.500 0.000 0.762
```

Output
Raw formation energy: -0.921 eV per atom

=====

[5]
# CaTe2Pb

Crystalline CaTe2Pb at its relaxed geometry (GGA-PBEsol, Alexandria via LeMat-Bulk).

The structure in CIF format:
```
data_CaTe2Pb
_cell_length_a 6.989
_cell_length_b 6.989
_cell_length_c 14.562
_cell_angle_alpha 90.00
_cell_angle_beta 90.00
_cell_angle_gamma 90.00
_symmetry_space_group_name_H-M 'I -4 2 d'
_symmetry_Int_Tables_number 122
_symmetry_space_group_name_Hall 'I -4 2bw'
loop_
_atom_site_label
_atom_site_type_symbol
_atom_site_fract_x
_atom_site_fract_y
_atom_site_fract_z
Ca1 Ca 0.000 0.000 0.000
Te1 Te 0.241 0.250 0.125
Pb1 Pb 0.000 0.000 0.500
```

Output
Raw formation energy: -0.711 eV per atom

=====

[6]
# Ca2TePb

Crystalline Ca2TePb at its relaxed geometry (GGA-PBEsol, Alexandria via LeMat-Bulk).

The structure in CIF format:
```
data_Ca2TePb
_cell_length_a 7.805
_cell_length_b 7.805
_cell_length_c 7.805
_cell_angle_alpha 90.00
_cell_angle_beta 90.00
_cell_angle_gamma 90.00
_symmetry_space_group_name_H-M 'F -4 3 m'
_symmetry_Int_Tables_number 216
_symmetry_space_group_name_Hall 'F -4 2 3'
loop_
_atom_site_label
_atom_site_type_symbol
_atom_site_fract_x
_atom_site_fract_y
_atom_site_fract_z
Ca1 Ca 0.000 0.000 0.000
Ca2 Ca 0.250 0.250 0.250
Te1 Te 0.000 0.000 0.500
Pb1 Pb 0.250 0.250 0.750
```

Output
Raw formation energy: -0.347 eV per atom
Excess energy over the best structure of this formula in the dataset: 491.3 meV per atom

=====

[7]
# CaTePb4

Crystalline CaTePb4 at its relaxed geometry (GGA-PBEsol, Alexandria via LeMat-Bulk).

The structure in CIF format:
```
data_CaTePb4
_cell_length_a 9.033
_cell_length_b 9.033
_cell_length_c 9.033
_cell_angle_alpha 90.00
_cell_angle_beta 90.00
_cell_angle_gamma 90.00
_symmetry_space_group_name_H-M 'F -4 3 m'
_symmetry_Int_Tables_number 216
_symmetry_space_group_name_Hall 'F -4 2 3'
loop_
_atom_site_label
_atom_site_type_symbol
_atom_site_fract_x
_atom_site_fract_y
_atom_site_fract_z
Ca1 Ca 0.000 0.000 0.000
Te1 Te 0.250 0.250 0.250
Pb1 Pb 0.126 0.126 0.626
```

Output
Raw formation energy: -0.126 eV per atom

=====

[8]
# CaTe2Pb

Crystalline CaTe2Pb at its relaxed geometry (GGA-PBEsol, Alexandria via LeMat-Bulk).

The structure in CIF format:
```
data_CaTe2Pb
_cell_length_a 7.768
_cell_length_b 7.768
_cell_length_c 7.768
_cell_angle_alpha 90.00
_cell_angle_beta 90.00
_cell_angle_gamma 90.00
_symmetry_space_group_name_H-M 'F -4 3 m'
_symmetry_Int_Tables_number 216
_symmetry_space_group_name_Hall 'F -4 2 3'
loop_
_atom_site_label
_atom_site_type_symbol
_atom_site_fract_x
_atom_site_fract_y
_atom_site_fract_z
Ca1 Ca 0.000 0.000 0.000
Te1 Te 0.000 0.000 0.500
Te2 Te 0.250 0.250 0.250
Pb1 Pb 0.250 0.250 0.750
```

Output
Raw formation energy: -0.340 eV per atom